[1]
Crystalline Pr6Dy2YTm3 at its relaxed geometry. Source: Alexandria, functional PBE.

Results
- ΔH_f (0 K) (eV per formula unit) = 0.16
- calculated density (Mg/m³) = 7.3

a b c (Å): 6.291 6.291 11.838
angles (deg): 95.07 95.07 119.99
Positions (direct):
Pr (0.916, 0.582, 0.748)
Pr (0.750, 0.750, 0.252)
Pr (0.084, 0.418, 0.252)
Pr (0.582, 0.916, 0.748)
Pr (0.250, 0.250, 0.748)
Pr (0.418, 0.084, 0.252)
Dy (0.333, 0.667, 0.000)
Dy (0.667, 0.333, 0.000)
Y (0.000, 0.000, 0.000)
Tm (0.167, 0.833, 0.500)
Tm (0.833, 0.167, 0.500)
Tm (0.500, 0.500, 0.500)

=====

[2]
Crystalline PrDyY2Tm at its relaxed geometry. Source: Alexandria, functional PBE.

Results
- ΔH_f (0 K) (eV per formula unit) = 1.93
- calculated density (Mg/m³) = 6.2

a b c (Å): 7.237 8.434 7.126
angles (deg): 126.28 90.00 90.00
Positions (direct):
Pr (0.250, 0.730, 0.460)
Pr (0.750, 0.270, 0.540)
Dy (0.250, 0.998, 0.997)
Dy (0.750, 0.002, 0.003)
Y (0.500, 0.310, 0.000)
Y (0.000, 0.690, 0.000)
Y (0.500, 0.690, 0.000)
Y (0.000, 0.310, 0.000)
Tm (0.750, 0.723, 0.446)
Tm (0.250, 0.277, 0.554)

=====

[3]
Crystalline Pr2Dy3Tm6Zr at its relaxed geometry. Source: Alexandria, functional PBE.

Results
- ΔH_f (0 K) (eV per formula unit) = 0.68
- calculated density (Mg/m³) = 8.5

a b c (Å): 6.080 6.080 11.596
angles (deg): 95.00 95.00 119.95
Positions (direct):
Pr (0.333, 0.667, 0.000)
Pr (0.667, 0.333, 0.000)
Dy (0.166, 0.834, 0.500)
Dy (0.834, 0.166, 0.500)
Dy (0.500, 0.500, 0.500)
Tm (0.917, 0.591, 0.752)
Tm (0.757, 0.757, 0.248)
Tm (0.083, 0.409, 0.248)
Tm (0.591, 0.917, 0.752)
Tm (0.243, 0.243, 0.752)
Tm (0.409, 0.083, 0.248)
Zr (0.000, 0.000, 0.000)

=====

[4]
Crystalline PrDyTmZr at its relaxed geometry. Source: Alexandria, functional PBE.

Results
- ΔH_f (0 K) (eV per formula unit) = 0.89
- calculated density (Mg/m³) = 7.9

a b c (Å): 5.518 5.518 5.518
angles (deg): 60.00 60.00 60.00
Positions (direct):
Pr (0.750, 0.750, 0.750)
Tm (0.500, 0.500, 0.500)
Zr (0.250, 0.250, 0.250)
Dy (0.000, 0.000, 0.000)

=====

[5]
Crystalline PrDyV at its relaxed geometry. Source: Alexandria, functional PBE.

Results
- ΔH_f (0 K) (eV per formula unit) = 1.39
- calculated density (Mg/m³) = 6.5

a b c (Å): 4.952 4.952 7.334
angles (deg): 90.00 90.00 90.00
Positions (direct):
V (0.000, 0.000, 0.000)
V (0.500, 0.500, 0.000)
Dy (0.000, 0.500, 0.787)
Dy (0.500, 0.000, 0.213)
Pr (0.000, 0.500, 0.281)
Pr (0.500, 0.000, 0.719)

=====

[6]
Crystalline PrDy2V at its relaxed geometry. Source: Alexandria, functional PBE.

Results
- ΔH_f (0 K) (eV per formula unit) = 2.49
- calculated density (Mg/m³) = 7.4

a b c (Å): 3.404 3.404 11.745
angles (deg): 81.67 81.67 60.00
Positions (direct):
Pr (0.500, 0.500, 0.500)
V (0.000, 0.000, 0.000)
Dy (0.080, 0.080, 0.759)
Dy (0.920, 0.920, 0.241)

=====

[7]
Crystalline Pr8DyY6 at its relaxed geometry. Source: Alexandria, functional PBE.

Results
- ΔH_f (0 K) (eV per formula unit) = 2.44
- calculated density (Mg/m³) = 5.8
- offset from the most stable computed form (meV/atom) = 50

a b c (Å): 6.658 9.515 9.515
angles (deg): 120.00 90.00 90.00
Positions (direct):
Pr (0.833, 0.039, 0.287)
Pr (0.833, 0.713, 0.752)
Pr (0.833, 0.248, 0.961)
Pr (0.167, 0.961, 0.713)
Pr (0.167, 0.287, 0.248)
Pr (0.167, 0.752, 0.039)
Pr (0.879, 0.333, 0.667)
Pr (0.121, 0.667, 0.333)
Dy (0.500, 0.000, 0.000)
Y (0.656, 0.658, 0.095)
Y (0.656, 0.905, 0.564)
Y (0.656, 0.436, 0.342)
Y (0.344, 0.342, 0.905)
Y (0.344, 0.095, 0.436)
Y (0.344, 0.564, 0.658)

=====

[8]
Crystalline PrDy3Y7 at its relaxed geometry. Source: Alexandria, functional PBE.

Results
- ΔH_f (0 K) (eV per formula unit) = 2.21
- calculated density (Mg/m³) = 5.5
- offset from the most stable computed form (meV/atom) = 58

a b c (Å): 8.642 7.107 7.107
angles (deg): 120.00 90.00 90.00
Positions (direct):
Pr (0.449, 0.333, 0.667)
Dy (0.784, 0.500, 0.500)
Dy (0.784, 0.500, 0.001)
Dy (0.784, 0.999, 0.500)
Y (0.116, 0.168, 0.832)
Y (0.116, 0.168, 0.335)
Y (0.117, 0.667, 0.333)
Y (0.450, 0.832, 0.168)
Y (0.450, 0.335, 0.168)
Y (0.450, 0.832, 0.665)
Y (0.116, 0.665, 0.832)